(1)
The following is a PBE-GGA calculation of a relaxed ZnReSi crystal, from Alexandria via LeMat-Bulk.

Cell lengths 6.5302, 6.3797, 2.7320 Å; angles 80.89, 74.71, 24.40 degrees
With the nearest neighbours (Å) after each atom.
Fractional coordinates of all 3 atoms:
Zn1 0.0000 0.0000 0.0000  2 Re 2.70, 4 Zn 2.73, 2 Si 2.74
Re1 0.6730 0.6730 0.3270  2 Si 2.49, 2 Zn 2.70, 4 Re 2.73
Si1 0.3234 0.3234 0.6766  2 Re 2.49, 4 Si 2.73, 2 Zn 2.74

Results
total energy = -18.09 eV/cell
uncorrected formation energy = 0.352 eV per atom
space-group type = Fmm2 (42)
density = 10.5 g cm⁻³

=====

(2)
The following is a PBE-GGA calculation of a relaxed Tb2MgRh3 crystal, from Alexandria via LeMat-Bulk.

Cell lengths 4.7238, 4.7238, 11.5851 Å; angles 90.00, 90.00, 120.00 degrees
With the nearest neighbours (Å) after each atom.
Fractional coordinates of all 12 atoms:
Tb1 0.0000 0.0000 0.0000  8 Rh 2.91-2.94
Tb2 0.0000 0.0000 0.5000  8 Rh 2.85-2.88
Tb3 0.3333 0.6667 0.1810  8 Rh 2.78-3.10
Tb4 0.6667 0.3333 0.8190  8 Rh 2.78-3.10
Mg1 0.3333 0.6667 0.6630  8 Rh 2.80-2.90
Mg2 0.6667 0.3333 0.3370  8 Rh 2.80-2.90
Rh1 0.0000 0.0000 0.2538  5 Tb 2.85-2.94, 3 Mg 2.89
Rh2 0.0000 0.0000 0.7462  5 Tb 2.85-2.94, 3 Mg 2.89
Rh3 0.3333 0.6667 0.4213  4 Tb 2.78-2.88, 4 Mg 2.80-2.90
Rh4 0.3333 0.6667 0.9130  1 Mg 2.90, 7 Tb 2.91-3.10
Rh5 0.6667 0.3333 0.0870  1 Mg 2.90, 7 Tb 2.91-3.10
Rh6 0.6667 0.3333 0.5787  4 Tb 2.78-2.88, 4 Mg 2.80-2.90

Results
total energy = -74.93 eV/cell
ΔH_f (0 K) = -0.76 eV/atom
space-group type = P-3m1 (164)
density = 9.7 g cm⁻³

=====

(3)
The following is a PBE-GGA calculation of a relaxed NbAg2Br2 crystal, from Alexandria via LeMat-Bulk.

Cell lengths 7.6330, 7.6330, 4.0164 Å; angles 90.00, 90.00, 90.00 degrees
With the nearest neighbours (Å) after each atom.
Fractional coordinates of all 10 atoms:
Nb1 0.0000 0.0000 0.0000  4 Ag 3.01
Nb2 0.5000 0.5000 0.0000  4 Ag 3.01
Ag1 0.1267 0.3733 0.0000  1 Ag 2.74, 2 Br 2.83, 2 Nb 3.01
Ag2 0.3733 0.8733 0.0000  1 Ag 2.74, 2 Br 2.83, 2 Nb 3.01
Ag3 0.6267 0.1267 0.0000  1 Ag 2.74, 2 Br 2.83, 2 Nb 3.01
Ag4 0.8733 0.6267 0.0000  1 Ag 2.74, 2 Br 2.83, 2 Nb 3.01
Br1 0.1886 0.6886 0.5000  2 Ag 2.83
Br2 0.3114 0.1886 0.5000  2 Ag 2.83
Br3 0.6886 0.8114 0.5000  2 Ag 2.83
Br4 0.8114 0.3114 0.5000  2 Ag 2.83

Results
total energy = -31.81 eV/cell
uncorrected formation energy = 0.642 eV per atom
space-group type = P4/mbm (127)
density = 6.6 g cm⁻³

=====

(4)
The following is a PBE-GGA calculation of a relaxed Ba3HoU2S9 crystal, from Alexandria via LeMat-Bulk.

Cell lengths 7.3941, 7.3941, 9.0804 Å; angles 90.00, 90.00, 120.00 degrees
With the nearest neighbours (Å) after each atom.
Fractional coordinates of all 15 atoms:
Ba1 0.0000 0.0000 0.0000  12 S 3.70
Ba2 0.3333 0.6667 0.6547  12 S 3.62-3.79
Ba3 0.6667 0.3333 0.3453  12 S 3.62-3.79
Ho1 0.0000 0.0000 0.5000  6 S 2.64
U1 0.3333 0.6667 0.1684  6 S 2.58-2.63
U2 0.6667 0.3333 0.8316  6 S 2.58-2.63
S1 0.0000 0.5000 0.0000  2 U 2.63
S2 0.1680 0.3360 0.3313  1 U 2.58, 1 Ho 2.64
S3 0.1680 0.8320 0.3313  1 U 2.58, 1 Ho 2.64
S4 0.3360 0.1680 0.6687  1 U 2.58, 1 Ho 2.64
S5 0.5000 0.0000 0.0000  2 U 2.63
S6 0.5000 0.5000 0.0000  2 U 2.63
S7 0.6640 0.8320 0.3313  1 U 2.58, 1 Ho 2.64
S8 0.8320 0.1680 0.6687  1 U 2.58, 1 Ho 2.64
S9 0.8320 0.6640 0.6687  1 U 2.58, 1 Ho 2.64

Results
total energy = -96.55 eV/cell
uncorrected formation energy = -1.765 eV per atom
space-group type = P-3m1 (164)
density = 5.2 g cm⁻³

=====

Question: density of number 2 (Tb2MgRh3)?
Answer: 9.7 g cm⁻³

=====

Please write out number 3 again, unchanged.
The following is a PBE-GGA calculation of a relaxed NbAg2Br2 crystal, from Alexandria via LeMat-Bulk.

Cell lengths 7.6330, 7.6330, 4.0164 Å; angles 90.00, 90.00, 90.00 degrees
With the nearest neighbours (Å) after each atom.
Fractional coordinates of all 10 atoms:
Nb1 0.0000 0.0000 0.0000  4 Ag 3.01
Nb2 0.5000 0.5000 0.0000  4 Ag 3.01
Ag1 0.1267 0.3733 0.0000  1 Ag 2.74, 2 Br 2.83, 2 Nb 3.01
Ag2 0.3733 0.8733 0.0000  1 Ag 2.74, 2 Br 2.83, 2 Nb 3.01
Ag3 0.6267 0.1267 0.0000  1 Ag 2.74, 2 Br 2.83, 2 Nb 3.01
Ag4 0.8733 0.6267 0.0000  1 Ag 2.74, 2 Br 2.83, 2 Nb 3.01
Br1 0.1886 0.6886 0.5000  2 Ag 2.83
Br2 0.3114 0.1886 0.5000  2 Ag 2.83
Br3 0.6886 0.8114 0.5000  2 Ag 2.83
Br4 0.8114 0.3114 0.5000  2 Ag 2.83

Results
total energy = -31.81 eV/cell
uncorrected formation energy = 0.642 eV per atom
space-group type = P4/mbm (127)
density = 6.6 g cm⁻³